{"formula": "NaLiIn2Pt", "functional": "PBE", "state": "relaxed", "lattice_angstrom": [[5.172, 0.000, 0.000], [0.000, 5.172, 0.000], [0.000, 0.000, 4.995]], "species": ["Na", "Li", "In", "In", "Pt"], "frac_coords": [[0.000, 0.000, 0.000], [0.500, 0.500, 0.000], [0.000, 0.500, 0.500], [0.500, 0.000, 0.500], [0.500, 0.500, 0.500]], "formation_energy_ev_per_atom": -0.28, "n_ef_per_ev_atom": 0.421}


{"formula": "RbNa2LiIn", "functional": "PBE", "state": "relaxed", "lattice_angstrom": [[6.047, 0.000, 0.000], [0.000, 6.047, 0.000], [0.000, 0.000, 5.573]], "species": ["Rb", "Na", "Na", "Li", "In"], "frac_coords": [[0.000, 0.000, 0.000], [0.000, 0.500, 0.500], [0.500, 0.000, 0.500], [0.500, 0.500, 0.000], [0.500, 0.500, 0.500]], "formation_energy_ev_per_atom": 0.03, "de_polymorph_ev_per_atom": 0.000, "n_ef_per_ev_atom": 0.615}


{"formula": "RbNa2LiIn", "functional": "PBE", "state": "relaxed", "lattice_angstrom": [[5.850, 0.000, 0.000], [0.000, 5.850, 0.000], [0.000, 0.000, 5.447]], "species": ["Rb", "Na", "Na", "Li", "In"], "frac_coords": [[0.000, 0.000, 0.000], [0.000, 0.500, 0.500], [0.500, 0.000, 0.500], [0.500, 0.500, 0.500], [0.500, 0.500, 0.000]], "formation_energy_ev_per_atom": 0.06, "de_polymorph_ev_per_atom": 0.022, "n_ef_per_ev_atom": 0.668}


{"formula": "NaLiInRh", "functional": "PBE", "state": "relaxed", "lattice_angstrom": [[0.000, 3.287, 3.287], [3.287, 0.000, 3.287], [3.287, 3.287, 0.000]], "species": ["Na", "Li", "In", "Rh"], "frac_coords": [[0.000, 0.000, 0.000], [0.750, 0.750, 0.750], [0.500, 0.500, 0.500], [0.250, 0.250, 0.250]], "formation_energy_ev_per_atom": -0.16, "n_ef_per_ev_atom": 0.427}


{"formula": "NaLiInS2", "functional": "PBE", "state": "relaxed", "lattice_angstrom": [[7.042, 0.000, 0.000], [0.000, 5.628, 0.000], [-1.547, 0.000, 6.944]], "species": ["Na", "Na", "Li", "Li", "In", "In", "S", "S", "S", "S"], "frac_coords": [[0.000, 0.080, 0.250], [0.000, 0.920, 0.750], [0.500, 0.500, 0.000], [0.500, 0.500, 0.500], [0.500, 0.074, 0.750], [0.500, 0.926, 0.250], [0.270, 0.198, 0.021], [0.270, 0.802, 0.521], [0.730, 0.198, 0.479], [0.730, 0.802, 0.979]], "n_ef_per_ev_atom": 0.310}


{"formula": "Na2LiIn2Se4", "functional": "PBE", "state": "relaxed", "lattice_angstrom": [[8.056, -2.310, 0.000], [8.056, 2.310, 0.000], [-0.075, 0.000, 6.362]], "species": ["Na", "Na", "Li", "In", "In", "Se", "Se", "Se", "Se"], "frac_coords": [[0.189, 0.189, 0.267], [0.811, 0.811, 0.733], [0.000, 0.000, 0.500], [0.405, 0.405, 0.140], [0.595, 0.595, 0.860], [0.169, 0.169, 0.753], [0.437, 0.437, 0.723], [0.563, 0.563, 0.277], [0.831, 0.831, 0.247]], "n_ef_per_ev_atom": 0.166}


{"formula": "NaLiIn2Se", "functional": "PBE", "state": "relaxed", "lattice_angstrom": [[5.017, 0.000, 0.000], [0.000, 5.017, 0.000], [0.000, 0.000, 5.212]], "species": ["Na", "Li", "In", "In", "Se"], "frac_coords": [[0.000, 0.000, 0.000], [0.000, 0.000, 0.500], [0.000, 0.500, 0.500], [0.500, 0.000, 0.500], [0.500, 0.500, 0.000]], "n_ef_per_ev_atom": 0.298}


{"formula": "NaLiSmIn", "functional": "PBE", "state": "relaxed", "lattice_angstrom": [[0.000, 3.701, 3.701], [3.701, 0.000, 3.701], [3.701, 3.701, 0.000]], "species": ["Na", "Li", "Sm", "In"], "frac_coords": [[0.000, 0.000, 0.000], [0.750, 0.750, 0.750], [0.250, 0.250, 0.250], [0.500, 0.500, 0.500]], "formation_energy_ev_per_atom": -0.14, "n_ef_per_ev_atom": 0.509}


{"formula": "NaLiInSn", "functional": "PBE", "state": "relaxed", "lattice_angstrom": [[0.000, 3.586, 3.586], [3.586, 0.000, 3.586], [3.586, 3.586, 0.000]], "species": ["Na", "Li", "In", "Sn"], "frac_coords": [[0.000, 0.000, 0.000], [0.500, 0.500, 0.500], [0.750, 0.750, 0.750], [0.250, 0.250, 0.250]], "formation_energy_ev_per_atom": -0.17, "de_polymorph_ev_per_atom": 0.036, "n_ef_per_ev_atom": 0.511}


{"formula": "Na2LiIn2Sn2", "functional": "PBE", "state": "relaxed", "lattice_angstrom": [[2.608, 1.506, 7.605], [-2.608, 1.506, 7.605], [0.000, -3.012, 7.605]], "species": ["Na", "Na", "Li", "In", "In", "Sn", "Sn"], "frac_coords": [[0.139, 0.139, 0.139], [0.861, 0.861, 0.861], [0.000, 0.000, 0.000], [0.421, 0.421, 0.421], [0.579, 0.579, 0.579], [0.283, 0.283, 0.283], [0.717, 0.717, 0.717]], "formation_energy_ev_per_atom": -0.14, "n_ef_per_ev_atom": 0.333}


{"formula": "NaLiInSn", "functional": "PBE", "state": "relaxed", "lattice_angstrom": [[3.338, 0.000, 0.000], [0.000, 3.338, 0.000], [0.000, 0.000, 8.421]], "species": ["Na", "Li", "In", "Sn"], "frac_coords": [[0.000, 0.000, 0.000], [0.000, 0.000, 0.498], [0.500, 0.500, 0.713], [0.500, 0.500, 0.287]], "formation_energy_ev_per_atom": -0.20, "de_polymorph_ev_per_atom": 0.000, "n_ef_per_ev_atom": 0.363}


{"formula": "NaSrLiIn2", "functional": "PBE", "state": "relaxed", "lattice_angstrom": [[5.193, 0.000, 0.000], [0.000, 5.193, 0.000], [0.000, 0.000, 5.231]], "species": ["Na", "Sr", "Li", "In", "In"], "frac_coords": [[0.000, 0.000, 0.000], [0.500, 0.500, 0.000], [0.000, 0.000, 0.500], [0.000, 0.500, 0.500], [0.500, 0.000, 0.500]], "formation_energy_ev_per_atom": -0.14, "n_ef_per_ev_atom": 0.514}


| no. | calculated total energy (eV for the cell shown) |
| --- | --- |
| 1 | -16.15 |
| 2 | -8.09 |
| 3 | -7.98 |
| 4 | -13.97 |
| 5 | -35.46 |
| 6 | -31.26 |
| 7 | -12.30 |
| 8 | -11.27 |
| 9 | -10.64 |
| 10 | -19.00 |
| 11 | -10.78 |
| 12 | -11.09 |